1.
A geometry-optimized PmNd2Ge3 structure, computed with PBE-GGA.

Lattice parameters (Å, degrees): 7.4007 7.4007 7.4007 146.16 131.69 60.28
Element x y z (fractional)
Pm  0.0000  0.0000  0.0000
Nd  0.3329  0.3329  0.0000
Nd  0.6671  0.6671  0.0000
Ge  0.1652  0.6652  0.5000
Ge  0.5000  0.0000  0.5000
Ge  0.8348  0.3348  0.5000

**Total DFT energy (no corrections)**: -5.346 eV/atom
**Calculated volume**: 27.83 Å³ per atom
**Energy of formation**: -0.6558 eV per atom
**Total magnetic moment**: 0.0 μB per cell


2.
A geometry-optimized Pr6AgTe3Se2 structure, computed with PBE-GGA.

Lattice parameters (Å, degrees): 7.6164 7.6164 7.7211 99.47 99.47 119.97
Element x y z (fractional)
Pr  0.0813  0.4234  0.7664
Pr  0.2359  0.2359  0.2305
Pr  0.4234  0.0813  0.7664
Pr  0.5766  0.9187  0.2336
Pr  0.7641  0.7641  0.7695
Pr  0.9187  0.5766  0.2336
Ag  0.5000  0.5000  0.0000
Te  0.0000  0.0000  0.5000
Te  0.3354  0.6646  0.5000
Te  0.6646  0.3354  0.5000
Se  0.1662  0.8338  0.0000
Se  0.8338  0.1662  0.0000

**Formation energy from raw total energies**: -1.3827 eV/atom
**Total DFT energy (no corrections)**: -5.376 eV/atom
**Calculated volume**: 30.54 Å³ per atom
**Total magnetic moment**: 0.0 μB per cell


3.
A geometry-optimized LiCrCdCl6 structure, computed with PBE-GGA.

Lattice parameters (Å, degrees): 6.0128 6.0128 11.2643 90.00 90.00 90.00
Element x y z (fractional)
Li  0.0000  0.0000  0.0000
Li  0.5000  0.5000  0.5000
Cr  0.0000  0.0000  0.6691
Cr  0.5000  0.5000  0.1691
Cd  0.0000  0.0000  0.3314
Cd  0.5000  0.5000  0.8314
Cl  0.1847  0.1847  0.8254
Cl  0.1911  0.1911  0.5171
Cl  0.2178  0.2178  0.1633
Cl  0.2822  0.7178  0.6633
Cl  0.3089  0.6911  0.0171
Cl  0.3153  0.6847  0.3254
Cl  0.6847  0.3153  0.3254
Cl  0.6911  0.3089  0.0171
Cl  0.7178  0.2822  0.6633
Cl  0.7822  0.7822  0.1633
Cl  0.8089  0.8089  0.5171
Cl  0.8153  0.8153  0.8254

**Formation energy from raw total energies**: -1.2041 eV/atom
**Total DFT energy (no corrections)**: -3.819 eV/atom
**Calculated volume**: 22.62 Å³ per atom
**Total magnetic moment**: 6.0 μB per cell


4.
A geometry-optimized LiLaPb2 structure, computed with PBE-GGA.

Lattice parameters (Å, degrees): 10.9153 10.9153 10.9153 18.29 18.29 18.29
Element x y z (fractional)
Li  0.0000  0.0000  0.0000
La  0.5000  0.5000  0.5000
Pb  0.2594  0.2594  0.2594
Pb  0.7406  0.7406  0.7406

**Total DFT energy (no corrections)**: -3.813 eV/atom
**Calculated volume**: 27.97 Å³ per atom
**Energy of formation**: -0.2481 eV per atom
**Total magnetic moment**: 0.4 μB per cell


5.
A geometry-optimized Nd4TmMg5 structure, computed with PBE-GGA.

Lattice parameters (Å, degrees): 3.8534 3.8534 19.3761 90.00 90.00 90.00
Element x y z (fractional)
Nd  0.0000  0.0000  0.1019
Nd  0.0000  0.0000  0.3051
Nd  0.0000  0.0000  0.6949
Nd  0.0000  0.0000  0.8981
Tm  0.0000  0.0000  0.5000
Mg  0.5000  0.5000  0.0000
Mg  0.5000  0.5000  0.2032
Mg  0.5000  0.5000  0.4076
Mg  0.5000  0.5000  0.5924
Mg  0.5000  0.5000  0.7968

**Total DFT energy (no corrections)**: -3.249 eV/atom
**Calculated volume**: 28.77 Å³ per atom
**Energy of formation**: -0.0974 eV per atom
**Total magnetic moment**: 0.0 μB per cell


6.
A geometry-optimized Ba2SrPb2 structure, computed with PBE-GGA.

Lattice parameters (Å, degrees): 9.0826 9.0826 5.2284 90.00 90.00 90.00
Element x y z (fractional)
Ba  0.1655  0.3345  0.0000
Ba  0.3345  0.8345  0.0000
Ba  0.6655  0.1655  0.0000
Ba  0.8345  0.6655  0.0000
Sr  0.0000  0.0000  0.5000
Sr  0.5000  0.5000  0.5000
Pb  0.1259  0.6259  0.5000
Pb  0.3741  0.1259  0.5000
Pb  0.6259  0.8741  0.5000
Pb  0.8741  0.3741  0.5000

**ΔE to the lowest computed polymorph**: 1.7 kJ/mol of atoms
**Total DFT energy (no corrections)**: -3.097 eV/atom
**Calculated volume**: 43.13 Å³ per atom
**Energy of formation**: -0.5080 eV per atom
**Total magnetic moment**: 0.0 μB per cell


7.
A geometry-optimized LaVBi2 structure, computed with PBE-GGA.

Lattice parameters (Å, degrees): 5.4023 5.4023 5.4023 60.00 60.00 60.00
Element x y z (fractional)
La  0.0000  0.0000  0.0000
V  0.5000  0.5000  0.5000
Bi  0.2500  0.2500  0.2500
Bi  0.7500  0.7500  0.7500

**ΔE to the lowest computed polymorph**: 0.0 kJ/mol of atoms
**Total DFT energy (no corrections)**: -5.564 eV/atom
**Calculated volume**: 27.87 Å³ per atom
**Energy of formation**: -0.1124 eV per atom
**Total magnetic moment**: 2.6 μB per cell


8.
A geometry-optimized Ho4ZnGa3 structure, computed with PBE-GGA.

Lattice parameters (Å, degrees): 5.0383 5.0383 7.0710 90.00 90.00 90.00
Element x y z (fractional)
Ho  0.0000  0.5000  0.2491
Ho  0.0000  0.5000  0.7509
Ho  0.5000  0.0000  0.2491
Ho  0.5000  0.0000  0.7509
Zn  0.0000  0.0000  0.0000
Ga  0.0000  0.0000  0.5000
Ga  0.5000  0.5000  0.0000
Ga  0.5000  0.5000  0.5000

**ΔE to the lowest computed polymorph**: 0.0 kJ/mol of atoms
**Total DFT energy (no corrections)**: -4.118 eV/atom
**Calculated volume**: 22.44 Å³ per atom
**Energy of formation**: -0.5349 eV per atom
**Total magnetic moment**: 0.0 μB per cell


9.
A geometry-optimized Pr5Hg2O structure, computed with PBE-GGA.

Lattice parameters (Å, degrees): 9.0841 6.9626 14.3347 90.00 90.00 90.00
Element x y z (fractional)
Pr  0.0000  0.0000  0.0000
Pr  0.0000  0.5000  0.0000
Pr  0.0591  0.2500  0.2112
Pr  0.1343  0.0011  0.6021
Pr  0.1343  0.4989  0.6021
Pr  0.2320  0.7500  0.3758
Pr  0.2680  0.2500  0.8758
Pr  0.3657  0.5011  0.1021
Pr  0.3657  0.9989  0.1021
Pr  0.4409  0.7500  0.7112
Pr  0.5000  0.0000  0.5000
Pr  0.5000  0.5000  0.5000
Pr  0.5591  0.2500  0.2888
Pr  0.6343  0.0011  0.8979
Pr  0.6343  0.4989  0.8979
Pr  0.7320  0.7500  0.1242
Pr  0.7680  0.2500  0.6242
Pr  0.8657  0.5011  0.3979
Pr  0.8657  0.9989  0.3979
Pr  0.9409  0.7500  0.7888
Hg  0.0611  0.7500  0.1910
Hg  0.2107  0.2500  0.4103
Hg  0.2893  0.7500  0.9103
Hg  0.4389  0.2500  0.6910
Hg  0.5611  0.7500  0.3090
Hg  0.7107  0.2500  0.0897
Hg  0.7893  0.7500  0.5897
Hg  0.9389  0.2500  0.8090
O  0.1883  0.2500  0.0483
O  0.3117  0.7500  0.5483
O  0.6883  0.2500  0.4517
O  0.8117  0.7500  0.9517

**Formation energy from raw total energies**: -0.8430 eV/atom
**Total DFT energy (no corrections)**: -4.525 eV/atom
**Calculated volume**: 28.33 Å³ per atom
**Total magnetic moment**: 0.0 μB per cell


10.
A geometry-optimized TlCd3As structure, computed with PBE-GGA.

Lattice parameters (Å, degrees): 5.5290 5.5290 5.5290 90.00 90.00 90.00
Element x y z (fractional)
Tl  0.0000  0.0000  0.0000
Cd  0.0000  0.0000  0.5000
Cd  0.0000  0.5000  0.0000
Cd  0.5000  0.0000  0.0000
As  0.5000  0.5000  0.5000

**ΔE to the lowest computed polymorph**: 44.5 kJ/mol of atoms
**Total DFT energy (no corrections)**: -1.249 eV/atom
**Calculated volume**: 33.80 Å³ per atom
**Energy of formation**: 0.7029 eV per atom
**Total magnetic moment**: 1.9 μB per cell


11.
A geometry-optimized V2W structure, computed with PBE-GGA.

Lattice parameters (Å, degrees): 2.6941 2.6941 6.7321 105.44 105.44 69.84
Element x y z (fractional)
V  0.1709  0.1709  0.3420
V  0.8291  0.8291  0.6580
W  0.5000  0.5000  0.0000

**Total DFT energy (no corrections)**: -10.429 eV/atom
**Calculated volume**: 14.46 Å³ per atom
**Energy of formation**: -0.0317 eV per atom
**Total magnetic moment**: 0.0 μB per cell


Question: Which value of calculated volume does entry 8 give?
Answer: 22.44 Å³ per atom